First-principles (PBE) data for crystalline ScCd2Hg2 at its relaxed geometry, as listed in OQMD via LeMat-Bulk.

Cell and atoms, written as POSCAR:
```
ScCd2Hg2
1.0
-2.116 2.116 6.489
2.116 -2.116 6.489
2.116 2.116 -6.489
Cd Hg Sc
2 2 1
Direct
0.250 0.750 0.500
0.750 0.250 0.500
0.603 0.603 0.000
0.397 0.397 0.000
0.000 0.000 0.000
```

## Properties
The formation energy is -0.013 eV per atom. Its symmetry is I4/mmm (139). For the total magnetization, the calculation gives 0.0 Bohr magnetons per cell. The value obtained for the energy is -1.756 eV per atom.


First-principles (PBE) data for crystalline AcTlOs at its relaxed geometry, as listed in OQMD via LeMat-Bulk.

Cell and atoms, written as POSCAR:
```
AcTlOs
1.0
0.000 3.484 3.484
3.484 0.000 3.484
3.484 3.484 0.000
Ac Tl Os
1 1 1
Direct
0.250 0.250 0.250
0.750 0.750 0.750
0.000 0.000 0.000
```

## Properties
Its symmetry is F-43m (216). The excess energy over the best structure of this formula in the dataset comes out at 0 meV/atom. For the total magnetization, the calculation gives 0.0 Bohr magnetons per cell. The value obtained for the energy is -5.576 eV per atom.


First-principles (PBE) data for crystalline AlSn2Mo at its relaxed geometry, as listed in OQMD via LeMat-Bulk.

Cell and atoms, written as POSCAR:
```
AlSn2Mo
1.0
2.058 -4.150 -1.509
-2.206 -4.260 0.844
-1.972 -2.495 -3.690
Sn Al Mo
2 1 1
Direct
0.750 0.750 0.750
0.000 0.000 0.000
0.500 0.500 0.500
0.250 0.250 0.250
```

## Properties
Its symmetry is F-43m (216). For the total magnetization, the calculation gives 1.0 Bohr magnetons per cell. The value obtained for the energy is -5.030 eV per atom.


First-principles (PBE) data for crystalline TaTlCd at its relaxed geometry, as listed in OQMD via LeMat-Bulk.

Cell and atoms, written as POSCAR:
```
TaTlCd
1.0
0.000 3.329 3.329
3.329 0.000 3.329
3.329 3.329 0.000
Cd Tl Ta
1 1 1
Direct
0.250 0.250 0.250
0.000 0.000 0.000
0.750 0.750 0.750
```

## Properties
Its symmetry is F-43m (216). The excess energy over the best structure of this formula in the dataset comes out at 475 meV/atom. For the total magnetization, the calculation gives 1.7 Bohr magnetons per cell. The value obtained for the energy is -3.890 eV per atom.